Material: RePb2
Method: DFT, PBE-GGA
State: relaxed

Cell and atoms, written as CIF:
```
data_RePb2
_chemical_formula_sum 'Re1 Pb2'
_symmetry_space_group_name_H-M 'P -3 m 1'
_symmetry_Int_Tables_number 164
_symmetry_space_group_name_Hall '-P 3 2"'
_cell_length_a 5.1845
_cell_length_b 5.1845
_cell_length_c 2.9829
_cell_angle_alpha 90.00
_cell_angle_beta 90.00
_cell_angle_gamma 120.00
loop_
_atom_site_label
_atom_site_fract_x
_atom_site_fract_y
_atom_site_fract_z
Re1 0.0000 0.0000 0.0000
Pb1 0.3333 0.6667 0.7744
```

Computed properties:
The density of states at the Fermi level is 0.835 states/eV per atom. The calculation puts the formation energy at 1.1374 eV/atom.